# SmBrCl PBE relaxed
data_SmBrCl
_space_group_name_H-M_alt 'P 1'
_space_group_IT_number 1
_cell_length_a 3.904
_cell_length_b 6.716
_cell_length_c 8.369
_cell_angle_alpha 112.29
_cell_angle_beta 103.03
_cell_angle_gamma 90.01
loop_
_space_group_symop_operation_xyz
'x,y,z'
loop_
_atom_site_label
_atom_site_fract_x
_atom_site_fract_y
_atom_site_fract_z
Sm1 0.250 0.250 0.001
Sm2 0.750 0.750 0.999
Br1 0.372 0.034 0.253
Br2 0.628 0.966 0.747
Cl1 0.141 0.477 0.775
Cl2 0.859 0.523 0.225
# ΔE_f (raw) = -1.79 eV per atom